A relaxed structure of Y2AlOs2. Source: the Alexandria database, functional PBE-GGA.

```
Y2AlOs2
1.0
6.788 0.000 0.000
0.000 6.788 0.000
0.000 0.000 4.484
Y Os Al
4 4 2
Direct
0.177 0.677 0.500
0.677 0.823 0.500
0.823 0.323 0.500
0.323 0.177 0.500
0.372 0.872 0.000
0.872 0.628 0.000
0.628 0.128 0.000
0.128 0.372 0.000
0.000 0.000 0.000
0.500 0.500 0.000
```

Results
E_tot in eV/atom: -8.096
Space-group type: P4/mbm (127)